First-principles (GGA-PBE) data for a geometry-optimized GdHf3Pb2C2 structure, as listed in the Open Quantum Materials Database. Values from VASP.

Values from the calculation:
* total energy: -8.1409 eV/atom
* size of the total moment: 0.0 μB per formula unit

Structure (Quantum ESPRESSO input):
```
&SYSTEM
  ibrav = 0, nat = 8, ntyp = 4
/
ATOMIC_SPECIES
Gd 157.25 Gd.upf
Hf 178.49 Hf.upf
Pb 207.20 Pb.upf
C 12.01 C.upf
ATOMIC_POSITIONS crystal
Gd 0.0000 0.0000 0.0000
Hf 0.0000 0.0000 0.6540
Hf 0.6667 0.3333 0.1710
Hf 0.6667 0.3333 0.4983
Pb 0.0000 0.0000 0.3351
Pb 0.6667 0.3333 0.8190
C 0.3333 0.6667 0.0996
C 0.3333 0.6667 0.5761
CELL_PARAMETERS angstrom
3.4267 0.0000 0.0000
-1.7134 2.9676 0.0000
0.0000 0.0000 15.1884
```